Entry 1:
A geometry-optimized TlReSe2 structure, computed with PBE.

The calculation puts the total energy at -4.56 eV/atom. The uncorrected formation energy is 0.886 eV/atom.

Unit cell a=5.0049 b=5.0049 c=3.2223 alpha=90.00 beta=90.00 gamma=90.00
Element x y z (fractional)
Tl: 0.0000 0.0000 0.0000
Re: 0.5000 0.5000 0.0000
Se: 0.0000 0.5000 0.5000
Se: 0.5000 0.0000 0.5000

Entry 2:
A geometry-optimized NiAgAu2 structure, computed with PBE.

The calculation puts the total energy at -3.69 eV/atom. As for the calculated formation energy: 0.4 eV/f.u.

Unit cell a=9.3000 b=9.3000 c=9.3000 alpha=17.78 beta=17.78 gamma=17.78
Element x y z (fractional)
Ni: 0.0000 0.0000 0.0000
Ag: 0.5000 0.5000 0.5000
Au: 0.2565 0.2565 0.2565
Au: 0.7435 0.7435 0.7435

Entry 3:
A geometry-optimized PaFeTcAs structure, computed with PBE.

The calculation puts the total energy at -8.30 eV/atom. As for the calculated formation energy: -0.2 eV/f.u.

Unit cell a=4.5606 b=4.5606 c=4.5606 alpha=60.00 beta=60.00 gamma=60.00
Element x y z (fractional)
Pa: 0.0000 0.0000 0.0000
Fe: 0.2500 0.2500 0.2500
Tc: 0.7500 0.7500 0.7500
As: 0.5000 0.5000 0.5000

Repeat the first record exactly.
A geometry-optimized TlReSe2 structure, computed with PBE.

The calculation puts the total energy at -4.56 eV/atom. The uncorrected formation energy is 0.886 eV/atom.

Unit cell a=5.0049 b=5.0049 c=3.2223 alpha=90.00 beta=90.00 gamma=90.00
Element x y z (fractional)
Tl: 0.0000 0.0000 0.0000
Re: 0.5000 0.5000 0.0000
Se: 0.0000 0.5000 0.5000
Se: 0.5000 0.0000 0.5000

- Number 3 is which compound?
  PaFeTcAs

- Which formula does entry 3 have?
  PaFeTcAs